Density functional theory data (PBE) for an optimized crystal structure of Ga3Cu5O12.

Lattice parameters (Å, degrees): 10.5387 10.5387 10.5387 109.47 109.47 109.47
With the nearest neighbours (Å) after each atom.
Element x y z (fractional)
Ga  0.1250  0.2500  0.3750  4 O 1.94
Ga  0.1250  0.3750  0.7500  4 O 1.94
Ga  0.2500  0.3750  0.1250  4 O 1.94
Ga  0.2500  0.8750  0.6250  4 O 1.94
Ga  0.3750  0.1250  0.2500  4 O 1.94
Ga  0.3750  0.7500  0.1250  4 O 1.94
Ga  0.6250  0.2500  0.8750  4 O 1.94
Ga  0.6250  0.8750  0.7500  4 O 1.94
Ga  0.7500  0.1250  0.3750  4 O 1.94
Ga  0.7500  0.6250  0.8750  4 O 1.94
Ga  0.8750  0.6250  0.2500  4 O 1.94
Ga  0.8750  0.7500  0.6250  4 O 1.94
Cu  0.0000  0.0000  0.0000  6 O 1.93
Cu  0.0000  0.0000  0.5000  6 O 1.93
Cu  0.0000  0.5000  0.0000  6 O 1.93
Cu  0.0000  0.5000  0.5000  6 O 1.93
Cu  0.1250  0.7500  0.8750  4 O 1.90
Cu  0.1250  0.8750  0.2500  4 O 1.90
Cu  0.2500  0.1250  0.8750  4 O 1.90
Cu  0.2500  0.6250  0.3750  4 O 1.90
Cu  0.3750  0.2500  0.6250  4 O 1.90
Cu  0.3750  0.6250  0.7500  4 O 1.90
Cu  0.5000  0.0000  0.0000  6 O 1.93
Cu  0.5000  0.0000  0.5000  6 O 1.93
Cu  0.5000  0.5000  0.0000  6 O 1.93
Cu  0.5000  0.5000  0.5000  6 O 1.93
Cu  0.6250  0.3750  0.2500  4 O 1.90
Cu  0.6250  0.7500  0.3750  4 O 1.90
Cu  0.7500  0.3750  0.6250  4 O 1.90
Cu  0.7500  0.8750  0.1250  4 O 1.90
Cu  0.8750  0.1250  0.7500  4 O 1.90
Cu  0.8750  0.2500  0.1250  4 O 1.90
O  0.0198  0.1787  0.1543  2 Cu 1.90-1.93, 1 Ga 1.94
O  0.0198  0.3411  0.8654  2 Cu 1.90-1.93, 1 Ga 1.94
O  0.0244  0.6787  0.6589  2 Cu 1.90-1.93, 1 Ga 1.94
O  0.0244  0.8457  0.3654  2 Cu 1.90-1.93, 1 Ga 1.94
O  0.1346  0.6543  0.4756  2 Cu 1.90-1.93, 1 Ga 1.94
O  0.1346  0.9802  0.6589  2 Cu 1.90-1.93, 1 Ga 1.94
O  0.1543  0.0198  0.1787  2 Cu 1.90-1.93, 1 Ga 1.94
O  0.1543  0.6346  0.9756  2 Cu 1.90-1.93, 1 Ga 1.94
O  0.1589  0.1787  0.5244  2 Cu 1.90-1.93, 1 Ga 1.94
O  0.1589  0.4802  0.6346  2 Cu 1.90-1.93, 1 Ga 1.94
O  0.1787  0.1543  0.0198  2 Cu 1.90-1.93, 1 Ga 1.94
O  0.1787  0.5244  0.1589  2 Cu 1.90-1.93, 1 Ga 1.94
O  0.3213  0.3411  0.9756  2 Cu 1.90-1.93, 1 Ga 1.94
O  0.3213  0.4802  0.3457  2 Cu 1.90-1.93, 1 Ga 1.94
O  0.3411  0.8654  0.0198  2 Cu 1.90-1.93, 1 Ga 1.94
O  0.3411  0.9756  0.3213  2 Cu 1.90-1.93, 1 Ga 1.94
O  0.3457  0.3213  0.4802  2 Cu 1.90-1.93, 1 Ga 1.94
O  0.3457  0.5244  0.8654  2 Cu 1.90-1.93, 1 Ga 1.94
O  0.3654  0.0244  0.8457  2 Cu 1.90-1.93, 1 Ga 1.94
O  0.3654  0.8411  0.5198  2 Cu 1.90-1.93, 1 Ga 1.94
O  0.4756  0.1346  0.6543  2 Cu 1.90-1.93, 1 Ga 1.94
O  0.4756  0.8411  0.8213  2 Cu 1.90-1.93, 1 Ga 1.94
O  0.4802  0.3457  0.3213  2 Cu 1.90-1.93, 1 Ga 1.94
O  0.4802  0.6346  0.1589  2 Cu 1.90-1.93, 1 Ga 1.94
O  0.5198  0.3654  0.8411  2 Cu 1.90-1.93, 1 Ga 1.94
O  0.5198  0.6543  0.6787  2 Cu 1.90-1.93, 1 Ga 1.94
O  0.5244  0.1589  0.1787  2 Cu 1.90-1.93, 1 Ga 1.94
O  0.5244  0.8654  0.3457  2 Cu 1.90-1.93, 1 Ga 1.94
O  0.6346  0.1589  0.4802  2 Cu 1.90-1.93, 1 Ga 1.94
O  0.6346  0.9756  0.1543  2 Cu 1.90-1.93, 1 Ga 1.94
O  0.6543  0.4756  0.1346  2 Cu 1.90-1.93, 1 Ga 1.94
O  0.6543  0.6787  0.5198  2 Cu 1.90-1.93, 1 Ga 1.94
O  0.6589  0.0244  0.6787  2 Cu 1.90-1.93, 1 Ga 1.94
O  0.6589  0.1346  0.9802  2 Cu 1.90-1.93, 1 Ga 1.94
O  0.6787  0.5198  0.6543  2 Cu 1.90-1.93, 1 Ga 1.94
O  0.6787  0.6589  0.0244  2 Cu 1.90-1.93, 1 Ga 1.94
O  0.8213  0.4756  0.8411  2 Cu 1.90-1.93, 1 Ga 1.94
O  0.8213  0.8457  0.9802  2 Cu 1.90-1.93, 1 Ga 1.94
O  0.8411  0.5198  0.3654  2 Cu 1.90-1.93, 1 Ga 1.94
O  0.8411  0.8213  0.4756  2 Cu 1.90-1.93, 1 Ga 1.94
O  0.8457  0.3654  0.0244  2 Cu 1.90-1.93, 1 Ga 1.94
O  0.8457  0.9802  0.8213  2 Cu 1.90-1.93, 1 Ga 1.94
O  0.8654  0.0198  0.3411  2 Cu 1.90-1.93, 1 Ga 1.94
O  0.8654  0.3457  0.5244  2 Cu 1.90-1.93, 1 Ga 1.94
O  0.9756  0.1543  0.6346  2 Cu 1.90-1.93, 1 Ga 1.94
O  0.9756  0.3213  0.3411  2 Cu 1.90-1.93, 1 Ga 1.94
O  0.9802  0.6589  0.1346  2 Cu 1.90-1.93, 1 Ga 1.94
O  0.9802  0.8213  0.8457  2 Cu 1.90-1.93, 1 Ga 1.94

Calculated values
The density of states at the Fermi level comes out at 63.57 states/eV per cell. As for the formation energy (no corrections): -0.718 eV per atom.